1.
The following is a DFT calculation (GGA-PBE) of crystalline ErPaSi3 at its relaxed geometry.

Results
The value obtained for the formation energy without anion corrections is -0.63 eV/atom. Its crystal system is orthorhombic. As for the density of states at the Fermi level: 18.558 states/eV/cell.

Unit cell a=4.058 b=24.368 c=3.958 alpha=90.00 beta=90.00 gamma=90.00
Space group Cmcm (No. 63)
Inequivalent atoms, fractional coordinates:
Er 0.000 0.203 0.250 (multiplicity 4)
Pa 0.000 0.071 0.750 (multiplicity 4)
Si 0.000 0.324 0.250 (multiplicity 4)
Si 0.000 0.382 0.750 (multiplicity 4)
Si 0.000 0.475 0.750 (multiplicity 4)


2.
The following is a DFT calculation (GGA-PBE) of crystalline Tm5MgSc2 at its relaxed geometry.

Results
Its crystal system is orthorhombic. The formation energy comes out at 0.01 eV per atom. As for the density of states at the Fermi level: 41.906 states/eV/cell.

Unit cell a=6.871 b=10.870 c=11.880 alpha=90.00 beta=90.00 gamma=90.00
Space group Fmm2 (No. 42)
Inequivalent atoms, fractional coordinates:
Tm 0.000 0.000 0.000 (multiplicity 4)
Tm 0.245 0.000 0.758 (multiplicity 8)
Tm 0.250 0.250 0.087 (multiplicity 8)
Mg 0.000 0.000 0.503 (multiplicity 4)
Sc 0.000 0.247 0.340 (multiplicity 8)


3.
The following is a DFT calculation (GGA-PBE) of crystalline Co4PtBr at its relaxed geometry.

Results
The value obtained for the formation energy without anion corrections is 0.58 eV/atom. Its crystal system is cubic. As for the density of states at the Fermi level: 36.148 states/eV/cell.

Unit cell a=6.901 b=6.901 c=6.901 alpha=90.00 beta=90.00 gamma=90.00
Space group F-43m (No. 216)
Inequivalent atoms, fractional coordinates:
Co 0.124 0.124 0.124 (multiplicity 16)
Pt 0.250 0.250 0.750 (multiplicity 4)
Br 0.000 0.000 0.500 (multiplicity 4)


4.
The following is a DFT calculation (GGA-PBE) of crystalline CeZnGaPt3 at its relaxed geometry.

Results
Its crystal system is orthorhombic. The formation energy comes out at -0.62 eV per atom. As for the density of states at the Fermi level: 29.028 states/eV/cell.

Unit cell a=6.783 b=12.047 c=5.700 alpha=90.00 beta=90.00 gamma=90.00
Space group Cmcm (No. 63)
Inequivalent atoms, fractional coordinates:
Ce 0.000 0.202 0.250 (multiplicity 4)
Zn 0.000 0.450 0.250 (multiplicity 4)
Ga 0.000 0.130 0.750 (multiplicity 4)
Pt 0.000 0.330 0.750 (multiplicity 4)
Pt 0.209 0.000 0.000 (multiplicity 8)


5.
The following is a DFT calculation (GGA-PBE) of crystalline TlCdPb2 at its relaxed geometry.

Results
Its crystal system is orthorhombic. The calculation puts the energy above the most stable polymorph in this dataset at 0.028 eV/atom. The formation energy comes out at 0.04 eV per atom. As for the density of states at the Fermi level: 4.087 states/eV/cell.

Unit cell a=3.703 b=5.717 c=11.211 alpha=90.00 beta=90.00 gamma=90.00
Space group Immm (No. 71)
Inequivalent atoms, fractional coordinates:
Tl 0.000 0.000 0.000 (multiplicity 2)
Cd 0.000 0.000 0.500 (multiplicity 2)
Pb 0.000 0.500 0.234 (multiplicity 4)


6.
The following is a DFT calculation (GGA-PBE) of crystalline Re6Se7 at its relaxed geometry.

Results
The value obtained for the formation energy without anion corrections is 1.14 eV/atom. Its crystal system is trigonal. As for the density of states at the Fermi level: 29.480 states/eV/cell.

Unit cell a=5.6590 b=5.6590 c=27.6239 alpha=90.00 beta=90.00 gamma=120.00
Space group R-3m (No. 166, hexagonal axes)
Inequivalent atoms, fractional coordinates:
Re 0.0000 0.0000 0.0802 (multiplicity 6)
Re 0.0000 0.0000 0.1610 (multiplicity 6)
Re 0.0000 0.0000 0.3330 (multiplicity 6)
Se 0.0000 0.0000 0.5000 (multiplicity 3)
Se 0.0055 0.5028 0.9304 (multiplicity 18)


7.
The following is a DFT calculation (GGA-PBE) of crystalline CaZnRh at its relaxed geometry.

Results
Its crystal system is orthorhombic. The formation energy comes out at -0.49 eV per atom. As for the density of states at the Fermi level: 5.114 states/eV/cell.

Unit cell a=5.323 b=5.727 c=7.265 alpha=90.00 beta=90.00 gamma=90.00
Space group Imma (No. 74)
Inequivalent atoms, fractional coordinates:
Ca 0.000 0.250 0.133 (multiplicity 4)
Zn 0.250 0.250 0.750 (multiplicity 4)
Rh 0.000 0.000 0.500 (multiplicity 4)


8.
The following is a DFT calculation (GGA-PBE) of crystalline DyU2Tl3Se6 at its relaxed geometry.

Results
The value obtained for the formation energy without anion corrections is -1.04 eV/atom. Its crystal system is monoclinic. As for the density of states at the Fermi level: 17.073 states/eV/cell.

Unit cell a=7.240 b=12.538 c=8.211 alpha=90.00 beta=107.08 gamma=90.00
Space group C2/m (No. 12)
Inequivalent atoms, fractional coordinates:
Dy 0.000 0.000 0.000 (multiplicity 2)
U 0.000 0.333 0.000 (multiplicity 4)
Tl 0.000 0.167 0.500 (multiplicity 4)
Tl 0.000 0.500 0.500 (multiplicity 2)
Se 0.235 0.166 0.205 (multiplicity 8)
Se 0.236 0.500 0.205 (multiplicity 4)


9.
The following is a DFT calculation (GGA-PBE) of crystalline Tb2Sm2Ho7 at its relaxed geometry.

Results
Its crystal system is monoclinic. The formation energy comes out at 0.15 eV per atom. As for the density of states at the Fermi level: 35.313 states/eV/cell.

Unit cell a=11.183 b=11.505 c=6.049 alpha=90.00 beta=113.64 gamma=90.00
Space group C2/m (No. 12)
Inequivalent atoms, fractional coordinates:
Tb 0.000 0.214 0.000 (multiplicity 4)
Sm 0.092 0.500 0.306 (multiplicity 4)
Ho 0.000 0.000 0.500 (multiplicity 2)
Ho 0.174 0.237 0.677 (multiplicity 8)
Ho 0.230 0.000 0.081 (multiplicity 4)


Results for volume: 19.57, 27.73, 13.69, 19.41, 29.67, 19.64, 18.45, 29.69, 32.40 (in Å³ per atom, following the order of the records).